Entry 1:
{
  "formula": "CeTmRuPb",
  "functional": "PBE",
  "state": "optimized geometry",
  "de_polymorph_ev_per_fu": 1.066,
  "dos_ef_per_ev_atom": 1.6722,
  "energy_ev_per_cell": -24.1,
  "crystal_system": "cubic",
  "e_form_mev_per_atom": -184,
  "cell": [[5.151, 0.000, 0.000], [2.576, 4.461, 0.000], [2.576, 1.487, 4.206]],
  "species": ["Ru", "Pb", "Tm", "Ce"],
  "fractional_positions": [[0.000, 0.000, 0.000], [0.500, 0.500, 0.500], [0.250, 0.250, 0.250], [0.750, 0.750, 0.750]]
}

***

Entry 2:
{
  "formula": "TcSe3O4",
  "functional": "PBE",
  "state": "optimized geometry",
  "energy_ev_per_cell": -93.3,
  "crystal_system": "monoclinic",
  "e_form_raw_ev_per_atom": -0.750,
  "cell": [[-8.117, -0.757, -1.033], [-0.817, -0.701, 6.928], [-3.161, 6.984, 0.335]],
  "species": ["Se", "O", "Se", "Se", "O", "O", "Tc", "O", "O", "Se", "Tc", "O", "Se", "O", "O", "Se"],
  "fractional_positions": [[0.832, 0.260, 0.425], [0.130, 0.500, 0.171], [0.542, 0.805, 0.583], [0.542, 0.195, 0.583], [0.966, 0.798, 0.783], [0.966, 0.202, 0.783], [0.351, 0.500, 0.118], [0.414, 0.296, 0.212], [0.245, 0.000, 0.840], [0.879, 0.500, 0.624], [0.023, 0.000, 0.881], [0.916, 0.000, 0.117], [0.832, 0.740, 0.425], [0.446, 0.500, 0.881], [0.414, 0.704, 0.212], [0.470, 0.000, 0.362]]
}

***

Entry 3:
{
  "formula": "TlRu3F",
  "functional": "PBE",
  "state": "optimized geometry",
  "de_polymorph_ev_per_fu": 6.118,
  "dos_ef_per_ev_atom": 1.2180,
  "energy_ev_per_cell": -21.0,
  "crystal_system": "cubic",
  "e_form_raw_ev_per_atom": 2.205,
  "cell": [[-2.295, 0.542, -4.530], [-0.845, -5.034, -0.174], [-4.483, 0.672, 2.352]],
  "species": ["F", "Tl", "Ru", "Ru", "Ru"],
  "fractional_positions": [[0.500, 0.500, 0.500], [0.000, 0.000, 0.000], [0.500, 0.000, 0.000], [0.000, 0.500, 0.000], [0.000, 0.000, 0.500]]
}

***

Entry 4:
{
  "formula": "Mg5ZnAu6",
  "functional": "PBE",
  "state": "optimized geometry",
  "dos_ef_per_ev_atom": 0.2149,
  "energy_ev_per_cell": -35.5,
  "crystal_system": "orthorhombic",
  "e_form_mev_per_atom": -547,
  "cell": [[-1.008, 3.789, -2.431], [5.911, -0.383, -3.049], [-5.262, -5.630, -2.215]],
  "species": ["Mg", "Mg", "Zn", "Au", "Au", "Mg", "Au", "Au", "Au", "Mg", "Au", "Mg"],
  "fractional_positions": [[0.330, 0.830, 0.660], [0.000, 0.500, 0.000], [0.000, 0.000, 0.000], [0.164, 0.918, 0.327], [0.500, 0.244, 0.000], [0.666, 0.666, 0.332], [0.836, 0.082, 0.673], [0.836, 0.591, 0.673], [0.500, 0.756, 0.000], [0.334, 0.334, 0.668], [0.164, 0.409, 0.327], [0.670, 0.170, 0.340]]
}

***

Entry 5:
{
  "formula": "Sm2Zn2Tc2C",
  "functional": "PBE",
  "state": "optimized geometry",
  "dos_ef_per_ev_atom": 0.5234,
  "energy_ev_per_cell": -43.9,
  "crystal_system": "monoclinic",
  "e_form_mev_per_atom": -277,
  "cell": [[-3.827, 0.024, -0.132], [-2.096, -0.127, 5.299], [-0.099, 6.187, 4.017]],
  "species": ["Zn", "Sm", "Sm", "Zn", "C", "Tc", "Tc"],
  "fractional_positions": [[0.870, 0.260, 0.344], [0.570, 0.860, 0.281], [0.430, 0.140, 0.719], [0.130, 0.740, 0.656], [0.000, 0.000, 0.000], [0.204, 0.592, 0.063], [0.796, 0.408, 0.937]]
}

***

Entry 6:
{
  "formula": "AcB2SeO8",
  "functional": "PBE",
  "state": "optimized geometry",
  "dos_ef_per_ev_atom": 0.3702,
  "energy_ev_per_cell": -82.1,
  "crystal_system": "monoclinic",
  "e_form_raw_ev_per_atom": -1.789,
  "cell": [[-3.724, 0.642, 2.422], [-3.284, -2.949, -0.819], [2.198, -4.558, 5.348]],
  "species": ["Se", "Ac", "O", "B", "O", "B", "O", "O", "O", "O", "O", "O"],
  "fractional_positions": [[0.000, 0.000, 0.000], [0.000, 0.000, 0.500], [0.734, 0.236, 0.817], [0.635, 0.635, 0.199], [0.240, 0.240, 0.965], [0.365, 0.365, 0.801], [0.266, 0.764, 0.183], [0.760, 0.760, 0.035], [0.236, 0.734, 0.817], [0.764, 0.266, 0.183], [0.687, 0.687, 0.380], [0.313, 0.313, 0.620]]
}

***

Entry 7:
{
  "formula": "LiPr2Re2N6",
  "functional": "PBE",
  "state": "optimized geometry",
  "dos_ef_per_ev_atom": 0.3391,
  "energy_ev_per_cell": -91.0,
  "crystal_system": "trigonal",
  "e_form_raw_ev_per_atom": -0.424,
  "cell": [[5.645, 0.000, 0.000], [2.823, 4.889, 0.000], [2.823, 1.630, 6.053]],
  "species": ["Re", "N", "N", "N", "N", "Pr", "Re", "N", "Li", "N", "Pr"],
  "fractional_positions": [[0.397, 0.397, 0.809], [0.259, 0.773, 0.708], [0.741, 0.227, 0.292], [0.741, 0.741, 0.292], [0.259, 0.259, 0.708], [0.792, 0.792, 0.623], [0.603, 0.603, 0.191], [0.773, 0.259, 0.708], [0.000, 0.000, 0.000], [0.227, 0.741, 0.292], [0.208, 0.208, 0.377]]
}

***

Entry 8:
{
  "formula": "Tb2AlZn6",
  "functional": "PBE",
  "state": "optimized geometry",
  "dos_ef_per_ev_atom": 0.7104,
  "energy_ev_per_cell": -23.5,
  "crystal_system": "monoclinic",
  "e_form_mev_per_atom": -323,
  "cell": [[5.868, 0.040, 0.073], [0.002, 4.847, -2.795], [0.068, 0.094, 5.763]],
  "species": ["Al", "Tb", "Tb", "Zn", "Zn", "Zn", "Zn", "Zn", "Zn"],
  "fractional_positions": [[0.000, 0.000, 0.000], [0.143, 0.333, 0.666], [0.857, 0.667, 0.334], [0.664, 0.648, 0.828], [0.653, 0.183, 0.365], [0.664, 0.179, 0.828], [0.347, 0.817, 0.635], [0.336, 0.352, 0.172], [0.336, 0.821, 0.172]]
}

***

What did we get for size of the total moment? Answer: 0.116 0.000 1.353 0.000 0.000 0.036 0.000 0.000 μB per atom, in the order shown.
What did we get for calculated volume? Answer: 24.163 26.201 26.642 17.722 18.476 11.225 15.188 18.380 Å³/atom, in the order shown.